Computed, not measured: a geometry-optimized La3Pm3Nd structure at the GGA-PBE level of DFT.

Cell lengths 5.964, 9.904, 9.904 Å; angles 120.00, 90.00, 90.00 degrees
Fractional positions:
Nd 0.750 0.333 0.667
Nd 0.250 0.667 0.333
La 0.250 0.096 0.623
La 0.750 0.623 0.527
La 0.750 0.904 0.377
La 0.250 0.377 0.473
La 0.750 0.473 0.096
La 0.250 0.527 0.904
Pm 0.250 0.812 0.765
Pm 0.750 0.188 0.235
Pm 0.250 0.953 0.188
Pm 0.250 0.235 0.047
Pm 0.750 0.765 0.953
Pm 0.750 0.047 0.812

## Properties
symmetry: P6_3/m (176)
formation energy: 0.036 eV/atom
energy relative to the lowest polymorph listed for this composition: 0 meV/atom